Record 1
The following is a PBE calculation of an optimized crystal structure of Tm2Br, from the Open Quantum Materials Database.

The structure in POSCAR format:
```
Tm2Br
1.0
0.0000 3.4692 3.4692
3.4692 0.0000 3.4692
3.4692 3.4692 0.0000
Tm Br
2 1
direct
0.2500 0.2500 0.2500
0.7500 0.7500 0.7500
0.0000 0.0000 0.0000
```

Spin magnetization   0.006 μB per formula unit
Raw total energy   -3.544 eV per atom

---

Record 2
The following is a PBE calculation of an optimized crystal structure of Nb4Zn2CN, from the Open Quantum Materials Database.

The structure in POSCAR format:
```
Nb4Zn2CN
1.0
3.1553 0.0000 0.0000
-1.5776 2.7325 0.0000
0.0000 0.0000 13.5737
Nb Zn C N
4 2 1 1
direct
0.3333 0.6667 0.0887
0.3333 0.6667 0.4134
0.6667 0.3333 0.5866
0.6667 0.3333 0.9113
0.3333 0.6667 0.7483
0.6667 0.3333 0.2517
0.0000 0.0000 0.0000
0.0000 0.0000 0.5000
```

Spin magnetization   0.003 μB per formula unit
Raw total energy   -8.006 eV per atom

---

Record 3
The following is a PBE calculation of an optimized crystal structure of Dy2Sc2CICl4, from the Open Quantum Materials Database.

The structure in POSCAR format:
```
Dy2Sc2CICl4
1.0
8.3002 -1.8487 0.0000
8.3002 1.8487 0.0000
-2.0020 0.0000 8.2816
Dy Sc C I Cl
2 2 1 1 4
direct
0.9995 0.9995 0.1922
0.0005 0.0005 0.8078
0.3615 0.3615 0.9324
0.6385 0.6385 0.0676
0.5000 0.5000 0.0000
0.5000 0.5000 0.5000
0.1679 0.1679 0.2868
0.1715 0.1715 0.8720
0.8285 0.8285 0.1280
0.8321 0.8321 0.7132
```

Spin magnetization   0.007 μB per formula unit
Raw total energy   -5.571 eV per atom

---

Record 4
The following is a PBE calculation of an optimized crystal structure of TmZrNb, from the Open Quantum Materials Database.

The structure in POSCAR format:
```
TmZrNb
1.0
0.0000 3.3876 3.3876
3.3876 0.0000 3.3876
3.3876 3.3876 0.0000
Tm Zr Nb
1 1 1
direct
0.0000 0.0000 0.0000
0.5000 0.5000 0.5000
0.2500 0.2500 0.2500
```

Formation enthalpy at 0 K   0.758 eV per atom
Spin magnetization   0.007 μB per formula unit
Raw total energy   -6.947 eV per atom

---

Record 5
The following is a PBE calculation of an optimized crystal structure of TaFeAs, from the Open Quantum Materials Database.

The structure in POSCAR format:
```
TaFeAs
1.0
7.0551 0.0000 0.0000
-3.5275 6.1099 0.0000
0.0000 0.0000 3.2251
Ta Fe As
3 3 3
direct
0.0000 0.2777 0.0000
0.2777 0.0000 0.0000
0.7223 0.7223 0.0000
0.0000 0.6113 0.5000
0.3887 0.3887 0.5000
0.6113 0.0000 0.5000
0.0000 0.0000 0.5000
0.3333 0.6667 0.0000
0.6667 0.3333 0.0000
```

Spin magnetization   1.980 μB per formula unit
Raw total energy   -8.234 eV per atom

---

Record 6
The following is a PBE calculation of an optimized crystal structure of DyPuNp, from the Open Quantum Materials Database.

The structure in POSCAR format:
```
DyPuNp
1.0
0.0000 3.5008 3.5008
3.5008 0.0000 3.5008
3.5008 3.5008 0.0000
Dy Pu Np
1 1 1
direct
0.0000 0.0000 0.0000
0.2500 0.2500 0.2500
0.5000 0.5000 0.5000
```

Formation enthalpy at 0 K   0.885 eV per atom
Spin magnetization   10.245 μB per formula unit
Raw total energy   -9.614 eV per atom

---

Record 7
The following is a PBE calculation of an optimized crystal structure of HfZr2Cd, from the Open Quantum Materials Database.

The structure in POSCAR format:
```
HfZr2Cd
1.0
0.0000 3.5163 3.5163
3.5163 0.0000 3.5163
3.5163 3.5163 0.0000
Hf Zr Cd
1 2 1
direct
0.0000 0.0000 0.0000
0.5000 0.5000 0.5000
0.7500 0.7500 0.7500
0.2500 0.2500 0.2500
```

Formation enthalpy at 0 K   0.096 eV per atom
Spin magnetization   0.054 μB per formula unit
Raw total energy   -6.891 eV per atom

---

Record 8
The following is a PBE calculation of an optimized crystal structure of PrRePt, from the Open Quantum Materials Database.

The structure in POSCAR format:
```
PrRePt
1.0
0.0000 3.3317 3.3317
3.3317 0.0000 3.3317
3.3317 3.3317 0.0000
Pr Re Pt
1 1 1
direct
0.0000 0.0000 0.0000
0.2500 0.2500 0.2500
0.7500 0.7500 0.7500
```

Formation enthalpy at 0 K   1.195 eV per atom
Spin magnetization   2.662 μB per formula unit
Raw total energy   -6.556 eV per atom